La7Er2Sc2 after structural relaxation. Source: Alexandria via LeMat-Bulk, functional GGA-PBE.

a = 8.4643 Å, b = 10.9412 Å, c = 8.3227 Å
α = 90.00°, β = 102.13°, γ = 90.00°
With the nearest neighbours (Å) after each atom.
Space group C2/m (No. 12)
Inequivalent atoms, fractional coordinates:
La (0.0000, 0.0000, 0.0000) [2 per cell]  2 Er 3.62, 10 La 3.70-4.02
La (0.2036, 0.0000, 0.4822) [4 per cell]  4 Sc 3.38-3.64, 2 Er 3.44-3.73, 3 La 3.52-3.64
La (0.2079, 0.2799, 0.1824) [8 per cell]  2 Sc 3.31-3.47, 3 La 3.33-3.70, 2 Er 3.38-3.58
Er (0.0725, 0.5000, 0.8183) [4 per cell]  7 La 3.38-3.73, 2 Sc 3.46, 1 Er 3.49
Sc (0.0000, 0.2909, 0.5000) [4 per cell]  8 La 3.31-3.64, 2 Er 3.46

Values from the calculation:
ΔE to the lowest computed polymorph = 0.000 eV per atom
Uncorrected energy = -4.992 eV per atom
Energy relative to the elements = 0.12 eV per atom

Mg3AlAs2H6 after structural relaxation. Source: Alexandria via LeMat-Bulk, functional GGA-PBE.

a = 11.6481 Å, b = 6.8356 Å, c = 4.2555 Å
α = 90.00°, β = 107.88°, γ = 90.00°
With the nearest neighbours (Å) after each atom.
Space group C2/m (No. 12)
Inequivalent atoms, fractional coordinates:
Mg (0.0000, 0.0000, 0.0000) [2 per cell]  4 H 2.57, 2 As 2.65
Mg (0.2500, 0.2500, 0.5000) [4 per cell]  2 H 2.02
Al (0.0000, 0.5000, 0.5000) [2 per cell]  6 H 1.77-1.82
As (0.2225, 0.0000, 0.9585) [4 per cell]  1 H 1.69
H (0.0713, 0.3096, 0.3460) [8 per cell]  1 Al 1.77
H (0.1257, 0.5000, 0.8818) [4 per cell]  1 As 1.69, 1 Al 1.82

Values from the calculation:
Uncorrected energy = -3.132 eV per atom

LiSm2Pd3 after structural relaxation. Source: Alexandria via LeMat-Bulk, functional GGA-PBE.

a = 3.5225 Å, b = 3.5225 Å, c = 9.7592 Å
α = 90.00°, β = 90.00°, γ = 90.00°
With the nearest neighbours (Å) after each atom.
Space group P4/mmm (No. 123)
Inequivalent atoms, fractional coordinates:
Li (0.0000, 0.0000, 0.0000) [1 per cell]  8 Pd 2.86, 2 Sm 3.06
Sm (0.0000, 0.0000, 0.3139) [2 per cell]  8 Pd 3.00-3.08, 1 Li 3.06
Pd (0.5000, 0.5000, 0.1431) [2 per cell]  1 Pd 2.79, 4 Li 2.86, 4 Sm 3.00
Pd (0.5000, 0.5000, 0.5000) [1 per cell]  8 Sm 3.08

Values from the calculation:
ΔE to the lowest computed polymorph = 0.000 eV per atom
Uncorrected energy = -5.179 eV per atom
Energy relative to the elements = -0.69 eV per atom

TaTi3Cr after structural relaxation. Source: Alexandria via LeMat-Bulk, functional GGA-PBE.

a = 4.4609 Å, b = 4.4609 Å, c = 4.4609 Å
α = 90.00°, β = 90.00°, γ = 90.00°
With the nearest neighbours (Å) after each atom.
Space group Pm-3m (No. 221)
Inequivalent atoms, fractional coordinates:
Ta (0.0000, 0.0000, 0.0000) [1 per cell]  12 Ti 3.15
Ti (0.0000, 0.5000, 0.5000) [3 per cell]  2 Cr 2.23
Cr (0.5000, 0.5000, 0.5000) [1 per cell]  6 Ti 2.23

Values from the calculation:
ΔE to the lowest computed polymorph = 0.000 eV per atom
Uncorrected energy = -8.376 eV per atom
Energy relative to the elements = 0.66 eV per atom

TmAlAgRh after structural relaxation. Source: Alexandria via LeMat-Bulk, functional GGA-PBE.

a = 6.5974 Å, b = 6.5974 Å, c = 6.5974 Å
α = 90.00°, β = 90.00°, γ = 90.00°
With the nearest neighbours (Å) after each atom.
Space group F-43m (No. 216)
Inequivalent atoms, fractional coordinates:
Tm (0.0000, 0.0000, 0.0000) [4 per cell]  4 Rh 2.86, 4 Ag 2.86
Al (0.0000, 0.0000, 0.5000) [4 per cell]  4 Rh 2.86, 4 Ag 2.86
Ag (0.2500, 0.2500, 0.7500) [4 per cell]  4 Tm 2.86, 4 Al 2.86
Rh (0.2500, 0.2500, 0.2500) [4 per cell]  4 Tm 2.86, 4 Al 2.86

Values from the calculation:
Uncorrected energy = -5.161 eV per atom
Energy relative to the elements = -0.56 eV per atom

ScCr2P2 after structural relaxation. Source: Alexandria via LeMat-Bulk, functional GGA-PBE.

a = 6.7816 Å, b = 6.7816 Å, c = 2.9561 Å
α = 90.00°, β = 90.00°, γ = 90.00°
With the nearest neighbours (Å) after each atom.
Space group P4/mbm (No. 127)
Inequivalent atoms, fractional coordinates:
Sc (0.0000, 0.0000, 0.0000) [2 per cell]  4 P 2.60
Cr (0.1391, 0.3609, 0.5000) [4 per cell]  6 P 2.42-2.55, 1 Cr 2.67
P (0.1443, 0.6443, 0.0000) [4 per cell]  6 Cr 2.42-2.55, 2 Sc 2.60

Values from the calculation:
Uncorrected energy = -7.757 eV per atom
Energy relative to the elements = -0.48 eV per atom

Cs2PaGaI6 after structural relaxation. Source: Alexandria via LeMat-Bulk, functional GGA-PBE.

a = 8.9327 Å, b = 8.9327 Å, c = 43.8053 Å
α = 90.00°, β = 90.00°, γ = 120.00°
With the nearest neighbours (Å) after each atom.
Space group R-3m (No. 166, hexagonal axes)
Inequivalent atoms, fractional coordinates:
Cs (0.0000, 0.0000, 0.1273) [6 per cell]  12 I 4.14-4.56
Cs (0.0000, 0.0000, 0.2967) [6 per cell]  12 I 4.28-4.76
Pa (0.0000, 0.0000, 0.0000) [3 per cell]  6 I 3.09
Pa (0.0000, 0.0000, 0.5000) [3 per cell]  6 I 3.16, 2 Ga 3.29
Ga (0.0000, 0.0000, 0.4249) [6 per cell]  6 I 3.19-3.45, 1 Pa 3.29
I (0.0067, 0.5033, 0.7072) [18 per cell]  1 Pa 3.09, 1 Ga 3.45
I (0.0176, 0.5088, 0.8702) [18 per cell]  1 Pa 3.16, 1 Ga 3.19

Values from the calculation:
ΔE_f (raw) = -1.02 eV per atom
Uncorrected energy = -3.373 eV per atom

NbIrC3 after structural relaxation. Source: Alexandria via LeMat-Bulk, functional GGA-PBE.

a = 3.9400 Å, b = 3.9400 Å, c = 3.9400 Å
α = 90.00°, β = 90.00°, γ = 90.00°
With the nearest neighbours (Å) after each atom.
Space group Pm-3m (No. 221)
Inequivalent atoms, fractional coordinates:
Nb (0.0000, 0.0000, 0.0000) [1 per cell]  12 C 2.79
Ir (0.5000, 0.5000, 0.5000) [1 per cell]  6 C 1.97
C (0.0000, 0.5000, 0.5000) [3 per cell]  2 Ir 1.97

Values from the calculation:
ΔE to the lowest computed polymorph = 0.000 eV per atom
Uncorrected energy = -7.305 eV per atom
Energy relative to the elements = 2.02 eV per atom

LiAl2CdSe4 after structural relaxation. Source: Alexandria via LeMat-Bulk, functional GGA-PBE.

a = 7.9951 Å, b = 8.8962 Å, c = 11.5600 Å
α = 90.00°, β = 90.00°, γ = 90.00°
With the nearest neighbours (Å) after each atom.
Space group Fmm2 (No. 42)
Inequivalent atoms, fractional coordinates:
Li (0.0000, 0.0000, 0.0000) [4 per cell]  4 Se 2.55-2.62
Al (0.2500, 0.2500, 0.2430) [8 per cell]  4 Se 2.49-2.51
Cd (0.0000, 0.0000, 0.5000) [4 per cell]  4 Se 2.67-2.70
Se (0.0000, 0.2442, 0.8740) [8 per cell]  2 Al 2.51, 1 Li 2.62, 1 Cd 2.70
Se (0.2400, 0.0000, 0.1456) [8 per cell]  2 Al 2.49, 1 Li 2.55, 1 Cd 2.67

Values from the calculation:
ΔE_f (raw) = -0.76 eV per atom
Uncorrected energy = -3.787 eV per atom

Look up the uncorrected energy of the sixth one. -7.757 eV per atom